PBE Tl2Zn2F5, relaxed; energy relative to the lowest polymorph listed for this composition = 22 meV/atom; VASP energy = -32.85 eV for the cell shown; formation energy (no corrections) = -16.22 eV/f.u.; size of the total moment = 0.00 μB per formula unit; D(E_F) = 0.316 states/eV per atom
1.0
4.093 0.000 0.000
0.000 4.093 0.000
0.000 0.000 9.266
Tl Zn F
2 2 5
direct
0.000 0.000 0.000
0.000 0.000 0.500
0.500 0.500 0.230
0.500 0.500 0.770
0.000 0.500 0.239
0.000 0.500 0.761
0.500 0.000 0.239
0.500 0.000 0.761
0.500 0.500 0.000

***

PBE TlZn2F6, relaxed; VASP energy = -104.92 eV for the cell shown; formation energy (no corrections) = -18.83 eV/f.u.; size of the total moment = 0.00 μB per formula unit; D(E_F) = 0.366 states/eV per atom
1.0
9.690 0.000 0.000
-4.845 8.392 0.000
0.000 0.000 5.274
Tl Zn F
3 6 18
direct
0.000 0.000 0.000
0.333 0.667 0.489
0.667 0.333 0.511
0.000 0.343 0.000
0.000 0.657 0.000
0.343 0.000 0.000
0.343 0.343 0.000
0.657 0.000 0.000
0.657 0.657 0.000
0.083 0.541 0.781
0.115 0.230 0.798
0.115 0.885 0.798
0.209 0.417 0.190
0.209 0.791 0.190
0.230 0.115 0.202
0.417 0.209 0.810
0.459 0.541 0.781
0.459 0.917 0.781
0.541 0.083 0.219
0.541 0.459 0.219
0.583 0.791 0.190
0.770 0.885 0.798
0.791 0.209 0.810
0.791 0.583 0.810
0.885 0.115 0.202
0.885 0.770 0.202
0.917 0.459 0.219

***

PBE ZrTl3F8, relaxed; VASP energy = -61.06 eV for the cell shown; formation energy (no corrections) = -30.45 eV/f.u.; size of the total moment = 0.00 μB per formula unit; D(E_F) = 0.456 states/eV per atom
1.0
-3.158 3.158 5.412
3.158 -3.158 5.412
3.158 3.158 -5.412
Zr Tl F
1 3 8
direct
0.000 0.000 0.000
0.250 0.750 0.500
0.500 0.500 0.000
0.750 0.250 0.500
0.009 0.009 0.687
0.149 0.149 0.433
0.285 0.851 0.000
0.322 0.322 0.313
0.678 0.991 0.000
0.715 0.715 0.567
0.851 0.285 0.000
0.991 0.678 0.000

***

PBE ZrTl2F6, relaxed; VASP energy = -101.47 eV for the cell shown; formation energy (no corrections) = -26.23 eV/f.u.; size of the total moment = 0.00 μB per formula unit; D(E_F) = 0.000 states/eV per atom
1.0
5.801 0.000 0.000
0.000 5.801 0.000
0.000 0.000 12.040
Zr Tl F
2 4 12
direct
0.000 0.000 0.000
0.500 0.500 0.500
0.000 0.000 0.338
0.000 0.000 0.662
0.500 0.500 0.162
0.500 0.500 0.838
0.172 0.172 0.124
0.172 0.172 0.876
0.250 0.250 0.500
0.250 0.750 0.000
0.328 0.672 0.376
0.328 0.672 0.624
0.672 0.328 0.376
0.672 0.328 0.624
0.750 0.250 0.000
0.750 0.750 0.500
0.828 0.828 0.124
0.828 0.828 0.876

***

PBE ZrTlF, relaxed; VASP energy = -33.69 eV for the cell shown; formation energy (no corrections) = -4.06 eV/f.u.; size of the total moment = 0.00 μB per formula unit; D(E_F) = 0.805 states/eV per atom
1.0
14.915 0.000 0.000
0.000 1.604 2.779
0.000 -1.604 2.779
Zr Tl F
2 2 2
direct
0.171 0.000 0.000
0.829 0.000 0.000
0.000 0.667 0.667
0.500 0.004 0.004
0.266 0.667 0.667
0.734 0.667 0.667

***

PBE Zr2Tl2F, relaxed; energy relative to the lowest polymorph listed for this composition = 960 meV/atom; VASP energy = -22.79 eV for the cell shown; formation energy (no corrections) = 0.91 eV/f.u.; size of the total moment = 0.78 μB per formula unit; D(E_F) = 0.902 states/eV per atom
1.0
-2.056 2.056 7.318
2.056 -2.056 7.318
2.056 2.056 -7.318
Zr Tl F
2 2 1
direct
0.095 0.095 0.000
0.905 0.905 0.000
0.250 0.750 0.500
0.750 0.250 0.500
0.500 0.500 0.000

***

- Number 5 is which compound?
  ZrTlF